Density functional theory data (PBE) for crystalline La3PmPr2Y6 at its relaxed geometry.

For the total magnetization, the calculation gives 0.000 μB/cell. The calculated total energy is -0.2076 Ha/atom.

It has space group C2/m (No. 12), with a = 6.3354 Å, b = 10.9740 Å, c = 11.9330 Å, α = 90.00°, β = 100.18° and γ = 90.00°. The distinct sites, in fractional coordinates, are La at (0.0000, 0.0000, 0.0000), La at (0.0000, 0.3331, 0.0000), Pm at (0.0000, 0.5000, 0.5000), Pr at (0.0000, 0.1665, 0.5000), Y at (0.2490, 0.3335, 0.7483) and Y at (0.2496, 0.0000, 0.7486).